## TaCd2Se (SCAN)

Data for TaCd2Se at its PBEsol-relaxed geometry.

The structure belongs to space group Cmmm (No. 65); the cell edges are 5.256, 9.170 and 3.229 Å and the angles 90.00°, 90.00° and 90.00°. The inequivalent atoms are Ta at (0.000, 0.000, 0.000), Cd at (0.250, 0.250, 0.500) and Se at (0.000, 0.500, 0.000).

The calculation puts the density at 10.3 Mg/m³. The calculation puts the energy at -36.614 eV/atom.

## TaCd2Se (SCAN)

Data for TaCd2Se at its PBEsol-relaxed geometry.

The structure belongs to space group P4/mmm (No. 123); the cell edges are 2.931, 2.931 and 9.259 Å and the angles 90.00°, 90.00° and 90.00°. The inequivalent atoms are Ta at (0.000, 0.000, 0.000), Cd at (0.500, 0.500, 0.233) and Se at (0.000, 0.000, 0.500).

The calculation puts the density at 10.1 Mg/m³. The calculation puts the energy at -36.594 eV/atom.

## Ta3CdSe (SCAN)

Data for Ta3CdSe at its PBEsol-relaxed geometry.

The structure belongs to space group Pm-3m (No. 221); the cell edges are 4.925, 4.925 and 4.925 Å and the angles 90.00°, 90.00° and 90.00°. The inequivalent atoms are Ta at (0.000, 0.000, 0.500), Cd at (0.000, 0.000, 0.000) and Se at (0.500, 0.500, 0.500).

The calculation puts the density at 10.2 Mg/m³. The calculation puts the energy at -47.688 eV/atom.

## TaCd2Se (SCAN)

Data for TaCd2Se at its PBEsol-relaxed geometry.

The structure belongs to space group Imm2 (No. 44); the cell edges are 3.093, 5.010 and 10.952 Å and the angles 90.00°, 90.00° and 90.00°. The inequivalent atoms are Ta at (0.000, 0.000, 0.000), Cd at (0.000, 0.000, 0.540), Cd at (0.000, 0.500, 0.734) and Se at (0.000, 0.500, 0.321).

The calculation puts the density at 9.5 Mg/m³. The calculation puts the energy at -36.769 eV/atom.

## TaCd2Se (SCAN)

Data for TaCd2Se at its PBEsol-relaxed geometry.

The structure belongs to space group Cmm2 (No. 35); the cell edges are 3.304, 4.861 and 10.550 Å and the angles 90.00°, 90.00° and 90.00°. The inequivalent atoms are Ta at (0.000, 0.000, 0.000), Cd at (0.000, 0.000, 0.518), Cd at (0.000, 0.500, 0.769) and Se at (0.000, 0.500, 0.184).

The calculation puts the density at 9.5 Mg/m³. The calculation puts the energy at -36.813 eV/atom.

## CdTcSe3 (SCAN)

Data for CdTcSe3 at its PBEsol-relaxed geometry.

The structure belongs to space group Pm-3m (No. 221); the cell edges are 5.074, 5.074 and 5.074 Å and the angles 90.00°, 90.00° and 90.00°. The inequivalent atoms are Cd at (0.000, 0.000, 0.000), Tc at (0.500, 0.500, 0.500) and Se at (0.000, 0.000, 0.500).

The calculation puts the density at 5.7 Mg/m³. The calculation puts the energy at -24.120 eV/atom.